1.
The following is a meta-GGA SCAN calculation of a crystal of SrCa2Os relaxed with PBEsol, from Alexandria via LeMat-Bulk.

**E above lowest polymorph**: 0.235 eV per atom
**Crystal system**: trigonal
**M_tot**: 0.015 μB/atom

Structure (extended XYZ):
```
4
Lattice="-2.730 1.984 -1.147 -3.048 0.075 1.847 1.833 9.242 6.088" Properties=species:S:1:pos:R:3 pbc="T T T"
Sr 0.000 0.000 0.000
Ca -3.227 7.864 4.672
Os -1.972 5.651 3.394
Ca -0.717 3.437 2.116
```


2.
The following is a meta-GGA SCAN calculation of a crystal of SrCa2Os relaxed with PBEsol, from Alexandria via LeMat-Bulk.

**E above lowest polymorph**: 0.228 eV per atom
**Crystal system**: tetragonal
**M_tot**: 0.000 μB/atom

Structure (extended XYZ):
```
4
Lattice="-0.710 -3.200 3.360 -0.989 -3.219 -3.274 4.536 -1.203 -0.187" Properties=species:S:1:pos:R:3 pbc="T T T"
Os 1.419 -3.811 -0.051
Ca -0.494 -1.609 -1.637
Ca 2.268 -0.602 -0.094
Sr -0.355 -1.600 1.680
```


3.
The following is a meta-GGA SCAN calculation of a crystal of SrCa2Os relaxed with PBEsol, from Alexandria via LeMat-Bulk.

**E above lowest polymorph**: 0.482 eV per atom
**Crystal system**: monoclinic
**M_tot**: 0.000 μB/atom

Structure (extended XYZ):
```
4
Lattice="-1.576 1.202 2.680 -2.156 -5.521 0.249 5.938 0.707 1.582" Properties=species:S:1:pos:R:3 pbc="T T T"
Os -0.788 0.601 1.340
Ca 2.969 0.353 0.791
Ca 1.103 -1.806 2.256
Sr -1.078 -2.761 0.125
```


4.
The following is a meta-GGA SCAN calculation of a crystal of SrCaOs relaxed with PBEsol, from Alexandria via LeMat-Bulk.

**Crystal system**: cubic
**E**: -33.18 eV/atom
**M_tot**: 0.001 μB/atom

Structure (extended XYZ):
```
3
Lattice="-4.713 -0.059 -1.055 -2.230 -4.197 -0.858 -3.169 -1.749 3.198" Properties=species:S:1:pos:R:3 pbc="T T T"
Sr -2.528 -1.501 0.321
Ca 0.000 0.000 0.000
Os -5.056 -3.003 0.642
```


5.
The following is a meta-GGA SCAN calculation of a crystal of CaTa2Os2 relaxed with PBEsol, from Alexandria via LeMat-Bulk.

**Crystal system**: tetragonal
**E**: -57.62 eV/atom
**M_tot**: 0.000 μB/atom

Structure (extended XYZ):
```
5
Lattice="4.316 0.000 0.000 0.000 4.316 0.000 -2.158 -2.158 5.415" Properties=species:S:1:pos:R:3 pbc="T T T"
Os 2.158 2.158 1.282
Os 0.000 0.000 4.133
Ta 0.000 2.158 2.708
Ca 0.000 0.000 0.000
Ta 2.158 0.000 2.708
```


6.
The following is a meta-GGA SCAN calculation of a crystal of CaTcOs relaxed with PBEsol, from Alexandria via LeMat-Bulk.

**E above lowest polymorph**: 0.253 eV per atom
**Crystal system**: trigonal
**M_tot**: 0.000 μB/atom

Structure (extended XYZ):
```
3
Lattice="3.138 0.000 0.000 0.000 4.375 0.000 0.000 -2.187 3.788" Properties=species:S:1:pos:R:3 pbc="T T T"
Os 1.791 0.000 2.526
Tc 1.329 2.187 1.263
Ca 0.019 0.000 0.000
```